Entry 1:
Material: Li2SmMg2In2
Method: DFT, PBE
State: optimized geometry

Properties
Space group: C2/m
Calculated total energy (eV/atom): -2.695
ΔH_f (0 K) (eV per atom): -0.236
Density of states at the Fermi level (states/eV/cell): 1.7

a b c (Å): 4.878 5.060 7.524
angles (deg): 101.30 90.00 118.81
Positions (direct):
Li 0.120 0.241 0.429
Li 0.880 0.759 0.571
Sm 0.000 0.000 0.000
Mg 0.708 0.415 0.199
Mg 0.292 0.585 0.801
In 0.607 0.213 0.736
In 0.393 0.787 0.264

Entry 2:
Material: HfCo
Method: DFT, PBE
State: optimized geometry

Properties
Space group: Fddd
Calculated total energy (eV/atom): -8.727
ΔH_f (0 K) (eV per atom): -0.197
Density of states at the Fermi level (states/eV/cell): 31.7

a b c (Å): 6.575 8.038 9.918
angles (deg): 90.00 90.00 90.00
Positions (direct):
Hf 0.000 0.798 0.000
Hf 0.000 0.202 0.000
Hf 0.250 0.952 0.250
Hf 0.250 0.548 0.250
Hf 0.000 0.298 0.500
Hf 0.000 0.702 0.500
Hf 0.250 0.452 0.750
Hf 0.250 0.048 0.750
Hf 0.500 0.798 0.500
Hf 0.500 0.202 0.500
Hf 0.750 0.952 0.750
Hf 0.750 0.548 0.750
Hf 0.500 0.298 0.000
Hf 0.500 0.702 0.000
Hf 0.750 0.452 0.250
Hf 0.750 0.048 0.250
Co 0.315 0.000 0.000
Co 0.685 0.000 0.000
Co 0.935 0.750 0.250
Co 0.565 0.750 0.250
Co 0.315 0.500 0.500
Co 0.685 0.500 0.500
Co 0.935 0.250 0.750
Co 0.565 0.250 0.750
Co 0.815 0.000 0.500
Co 0.185 0.000 0.500
Co 0.435 0.750 0.750
Co 0.065 0.750 0.750
Co 0.815 0.500 0.000
Co 0.185 0.500 0.000
Co 0.435 0.250 0.250
Co 0.065 0.250 0.250

> Which of these has the highest calculated total energy?

Li2SmMg2In2